SrCa2La PBE optimized geometry; polymorph energy (0 for the lowest one) = 0.046 eV per atom; uncorrected energy = -2.543 eV/atom; formation enthalpy at 0 K = 110 meV per atom; volume = 170.6 Å³/f.u.
1.0
7.361 -0.008 -0.008
3.431 6.512 0.008
-4.692 -4.419 3.554
Sr Ca La
1 2 1
Cartesian
2.067 2.672 1.781
10.752 6.480 0.000
5.436 3.276 0.000
4.032 -0.588 1.773